40
Lattice="7.2172 0.0160 -0.0025 -0.3287 7.7728 0.0244 -0.9945 -0.1557 9.3143" Properties=species:S:1:pos:R:3 comment="PBE-GGA BaH2O2, relaxed" total_energy_ev_per_atom=-5.476 spacegroup="No. 1" n_ef_per_ev_atom=0.000 pbc="T T T"
Ba 0.5088 6.5853 8.5048
Ba 4.5833 4.9091 3.7276
Ba 5.4069 0.7241 0.9506
Ba 1.1583 2.9305 5.7295
Ba 1.5014 7.4728 3.1498
Ba 4.7433 4.0945 7.7151
Ba 4.5225 0.2653 6.4034
Ba 1.0132 3.5704 1.6867
H 0.4757 7.4576 5.8590
H 4.5843 3.8838 1.0707
H 5.4444 0.3251 3.6480
H -0.0616 2.9342 8.2684
H 2.8942 1.7574 1.6122
H 4.7692 2.5062 4.8375
H 2.9934 5.9602 7.6423
H -0.1192 5.5061 3.0550
H -0.0394 1.2482 9.0861
H 3.6056 1.7881 3.5696
H 6.2588 5.5948 1.1448
H 2.2098 5.9007 5.7629
H 6.4958 1.9553 3.7536
H 2.4145 1.9125 8.4621
H -0.5840 5.7942 5.5414
H 3.4918 5.7107 0.8837
O 1.7143 0.0617 5.8194
O 5.5425 3.7144 1.1612
O 4.5188 -0.0166 3.6534
O 0.1673 3.8966 8.2266
O 2.5823 1.2130 0.8534
O 5.5102 2.7219 5.4399
O 3.2606 6.3966 8.4930
O 0.1709 5.0347 3.8773
O -0.8282 1.1942 8.4985
O 3.0101 2.5739 3.5425
O -0.3347 6.3159 1.3487
O 2.8656 5.1864 5.9330
O -0.1806 1.4443 3.1036
O 3.0561 2.0886 7.7386
O 6.1252 6.1963 6.2915
O 2.8945 5.5134 1.6387

***

8
Lattice="4.1658 0.0000 0.0011 0.0000 10.3601 0.0000 -2.7931 0.0000 5.7425" Properties=species:S:1:pos:R:3 comment="PBE-GGA K2BeGe, relaxed" spacegroup="No. 8" n_ef_per_ev_atom=0.047 e_form_kj_per_mol_fu=27.0 de_polymorph_mev_per_atom=62.1 pbc="T T T"
Be 0.6108 0.0000 3.2974
Be 2.0074 5.1800 0.4261
Ge -1.4731 0.0000 3.7173
Ge -0.0766 5.1800 0.8460
K 3.1693 8.6264 0.5499
K 3.1693 1.7337 0.5499
K 1.7727 3.4463 3.4212
K 1.7727 6.9137 3.4212